Entry 1:
CaHo2Rh: optimized geometry, GGA-PBE.

POSCAR file:
```
CaHo2Rh
1.0
3.8631 0.0000 0.0000
-1.9316 3.3455 0.0000
0.0000 0.0000 31.3965
Ca Ho Rh
3 6 3
Direct
0.0000 0.0000 0.0000
0.3333 0.6667 0.6667
0.6667 0.3333 0.3333
0.0000 0.0000 0.1172
0.0000 0.0000 0.8828
0.3333 0.6667 0.5495
0.3333 0.6667 0.7838
0.6667 0.3333 0.2162
0.6667 0.3333 0.4505
0.0000 0.0000 0.5000
0.3333 0.6667 0.1667
0.6667 0.3333 0.8333
```

Properties
* DOS(E_F): 4.064 states/eV/f.u.
* energy relative to the lowest polymorph listed for this composition: 0.143 eV/atom
* final energy: -58.732 eV per cell
* formation enthalpy at 0 K: -0.27 eV/atom
* crystal system: trigonal

=====

Entry 2:
LaGaH3: optimized geometry, GGA-PBE.

POSCAR file:
```
LaGaH3
1.0
3.9418 0.0000 0.0000
1.9666 6.0839 0.0000
0.0114 3.3129 5.5096
La Ga H
2 2 6
Direct
0.0000 0.0000 0.0000
0.3710 0.2587 0.3357
0.6858 0.6548 0.4550
0.7089 0.6041 0.8811
0.1618 0.6416 0.9405
0.1655 0.6173 0.3947
0.3949 0.2083 0.0015
0.5262 0.9414 0.7846
0.8353 0.3175 0.5512
0.9719 0.0507 0.3341
```

Properties
* DOS(E_F): 0.452 states/eV/f.u.
* energy relative to the lowest polymorph listed for this composition: 0.000 eV/atom
* final energy: -39.937 eV per cell
* crystal system: triclinic

=====

Entry 3:
HoMgBiPd: optimized geometry, GGA-PBE.

POSCAR file:
```
HoMgBiPd
1.0
7.1764 0.0000 0.0000
0.0000 7.1764 0.0000
0.0000 0.0000 7.1764
Ho Mg Bi Pd
4 4 4 4
Direct
0.0000 0.0000 0.0000
0.0000 0.5000 0.5000
0.5000 0.0000 0.5000
0.5000 0.5000 0.0000
0.0000 0.0000 0.5000
0.0000 0.5000 0.0000
0.5000 0.0000 0.0000
0.5000 0.5000 0.5000
0.2500 0.2500 0.2500
0.2500 0.7500 0.7500
0.7500 0.2500 0.7500
0.7500 0.7500 0.2500
0.2500 0.2500 0.7500
0.2500 0.7500 0.2500
0.7500 0.2500 0.2500
0.7500 0.7500 0.7500
```

Properties
* DOS(E_F): 1.050 states/eV/f.u.
* final energy: -69.382 eV per cell
* formation enthalpy at 0 K: -0.52 eV/atom
* crystal system: cubic

=====

Entry 4:
TbPr2Sm: optimized geometry, GGA-PBE.

POSCAR file:
```
TbPr2Sm
1.0
3.6595 0.0000 0.0000
-1.8298 3.1693 0.0000
0.0000 0.0000 35.6243
Tb Pr Sm
3 6 3
Direct
0.0000 0.0000 0.0000
0.3333 0.6667 0.6667
0.6667 0.3333 0.3333
0.0000 0.0000 0.2507
0.0000 0.0000 0.7493
0.3333 0.6667 0.4160
0.3333 0.6667 0.9173
0.6667 0.3333 0.0827
0.6667 0.3333 0.5840
0.0000 0.0000 0.5000
0.3333 0.6667 0.1667
0.6667 0.3333 0.8333
```

Properties
* DOS(E_F): 4.886 states/eV/f.u.
* energy relative to the lowest polymorph listed for this composition: 0.000 eV/atom
* final energy: -56.591 eV per cell
* formation enthalpy at 0 K: 0.01 eV/atom
* crystal system: trigonal

=====

Entry 5:
AcRuClO4: optimized geometry, GGA-PBE.

POSCAR file:
```
AcRuClO4
1.0
5.4393 -3.8664 0.0000
5.4393 3.8664 0.0000
-1.7847 0.0000 7.0366
Ac Ru Cl O
2 2 2 8
Direct
0.2220 0.2220 0.1215
0.7780 0.7780 0.8785
0.3645 0.3645 0.7290
0.6355 0.6355 0.2710
0.0187 0.0187 0.7658
0.9813 0.9813 0.2342
0.1376 0.4837 0.8630
0.2843 0.2843 0.4865
0.4695 0.4695 0.2348
0.4837 0.1376 0.8630
0.5163 0.8624 0.1370
0.5305 0.5305 0.7652
0.7157 0.7157 0.5135
0.8624 0.5163 0.1370
```

Properties
* DOS(E_F): 0.114 states/eV/f.u.
* formation energy from raw total energies: -1.7617 eV/atom
* final energy: -94.792 eV per cell
* crystal system: monoclinic

=====

Entry 6:
RbPuAg2F8: optimized geometry, GGA-PBE.

POSCAR file:
```
RbPuAg2F8
1.0
5.5828 0.0000 0.0000
-2.7914 4.8348 0.0000
0.0000 0.0000 8.9066
Rb Pu Ag F
1 1 2 8
Direct
0.0000 0.0000 0.0000
0.0000 0.0000 0.5000
0.3333 0.6667 0.2712
0.6667 0.3333 0.7288
0.1692 0.3384 0.6444
0.1692 0.8308 0.6444
0.3333 0.6667 0.0371
0.3384 0.1692 0.3556
0.6616 0.8308 0.6444
0.6667 0.3333 0.9629
0.8308 0.1692 0.3556
0.8308 0.6616 0.3556
```

Properties
* DOS(E_F): 17.992 states/eV/f.u.
* formation energy from raw total energies: -2.2108 eV/atom
* final energy: -62.502 eV per cell
* crystal system: trigonal